Density functional theory data (PBE) for a relaxed LiSc2I crystal.

As for the formation energy (no corrections): 0.068 eV per atom. As for the calculated total energy: -15.85 eV per cell. Its crystal system is cubic.

POSCAR file:
```
LiSc2I
1.0
0.592 -4.269 -2.595
1.116 -4.274 2.408
-3.436 -3.657 0.356
I Sc Li
1 2 1
Cartesian
-0.865 -6.100 0.085 I
-0.432 -3.050 0.042 Sc
-1.297 -9.150 0.127 Sc
0.000 0.000 0.000 Li
```